(1)
ZrReAs | Alexandria | PBE-GGA | optimized geometry; polymorph energy (0 for the lowest one) = 1068 meV/atom; energy of formation = 1.7 eV/f.u.
1.0
4.467 0.000 0.000
2.234 3.869 0.000
2.234 1.290 3.648
Zr Re As
1 1 1
Direct
0.750 0.750 0.750
0.500 0.500 0.500
0.000 0.000 0.000

(2)
ZrRe2As | Alexandria | PBE-GGA | optimized geometry; energy of formation = 0.0 eV/f.u.
1.0
2.968 0.000 0.000
0.000 4.130 0.000
0.000 0.000 5.454
As Re Zr
1 2 1
Direct
0.500 0.500 0.756
0.000 0.000 0.020
0.500 0.500 0.212
0.000 0.000 0.512

(3)
ZrRe2As | Alexandria | PBE-GGA | optimized geometry; energy of formation = -0.2 eV/f.u.
1.0
4.157 0.000 0.000
0.000 3.043 -0.072
0.000 1.137 5.302
As Re Zr
1 2 1
Direct
0.500 0.947 0.722
0.000 0.869 0.029
0.500 0.172 0.221
0.000 0.511 0.528

(4)
ZrRe2As | Alexandria | PBE-GGA | optimized geometry; energy of formation = 0.3 eV/f.u.
1.0
-0.841 -0.709 -4.707
2.149 -3.073 0.079
-3.004 -2.079 0.850
As Zr Re
1 1 2
Direct
0.500 0.000 0.500
0.500 0.500 0.000
0.000 0.500 0.500
0.000 0.000 0.000

(5)
ZrReAs3 | Alexandria | PBE-GGA | optimized geometry; polymorph energy (0 for the lowest one) = 0 meV/atom; energy of formation = 3.2 eV/f.u.
1.0
4.825 0.000 0.000
0.000 4.825 0.000
0.000 0.000 4.825
As Zr Re
3 1 1
Direct
0.000 0.000 0.500
0.000 0.500 0.000
0.500 0.000 0.000
0.500 0.500 0.500
0.000 0.000 0.000

(6)
ZrReAs | Alexandria | PBE-GGA | optimized geometry; polymorph energy (0 for the lowest one) = 78 meV/atom; energy of formation = -1.3 eV/f.u.
1.0
-2.369 -3.346 0.643
0.461 -1.947 4.847
-4.884 1.451 2.689
Re As Zr
2 2 2
Direct
0.354 0.737 0.062
0.646 0.263 0.938
0.321 0.137 0.710
0.679 0.863 0.290
0.062 0.698 0.676
0.938 0.302 0.324

(7)
Zr2ReAs | Alexandria | PBE-GGA | optimized geometry; energy of formation = -2.0 eV/f.u.
1.0
-2.285 1.072 -2.347
1.132 -2.399 -2.199
-3.057 -6.428 0.039
Zr As Re
2 1 1
Direct
0.000 0.001 0.000
0.000 0.499 0.500
0.500 0.250 0.250
0.500 0.750 0.750

(8)
Zr2ReAs | Alexandria | PBE-GGA | optimized geometry; energy of formation = -1.2 eV/f.u.
1.0
-5.280 -0.065 -5.848
-5.148 -3.395 -4.905
-7.131 -1.173 -3.138
As Re Zr
1 1 2
Direct
0.750 0.750 0.750
0.250 0.250 0.250
0.003 0.003 0.003
0.497 0.497 0.497